1.
A plane-wave DFT calculation with PBE was carried out for a relaxed structure of CsBaCa3.

Cell lengths 6.970, 6.970, 6.970 Å; angles 90.00, 90.00, 90.00 degrees
Sites, in units of the cell vectors:
Cs 0.000 0.000 0.000
Ba 0.500 0.500 0.500
Ca 0.000 0.500 0.500
Ca 0.500 0.000 0.500
Ca 0.500 0.500 0.000

Properties
The energy above the most stable polymorph in this dataset comes out at 0.00 eV per formula unit. The calculation puts the energy of formation at 0.6311 eV per atom. Its symmetry is Pm-3m, No. 221. The density of states at the Fermi level is 0.362 states/eV per atom. The total magnetization is 3.02 μB/cell.

---

2.
A plane-wave DFT calculation with PBE was carried out for a relaxed structure of Pr3Mg4Sc.

Cell lengths 3.811, 3.811, 15.535 Å; angles 90.00, 90.00, 90.00 degrees
Sites, in units of the cell vectors:
Pr 0.000 0.000 0.000
Pr 0.000 0.000 0.261
Pr 0.000 0.000 0.739
Mg 0.500 0.500 0.130
Mg 0.500 0.500 0.394
Mg 0.500 0.500 0.606
Mg 0.500 0.500 0.870
Sc 0.000 0.000 0.500

Properties
The calculation puts the energy of formation at -0.0822 eV per atom. Its symmetry is P4/mmm, No. 123. The density of states at the Fermi level is 1.164 states/eV per atom. The total magnetization is 0.00 μB/cell.